[1]
{
  "formula": "MgTa4Te",
  "functional": "GGA-PBEsol",
  "state": "optimized geometry",
  "lattice": [[0.000, 3.911, 3.911], [3.911, 0.000, 3.911], [3.911, 3.911, 0.000]],
  "species": ["Mg", "Ta", "Ta", "Ta", "Ta", "Te"],
  "frac_coords": [[0.000, 0.000, 0.000], [0.373, 0.373, 0.373], [0.373, 0.373, 0.881], [0.373, 0.881, 0.373], [0.881, 0.373, 0.373], [0.750, 0.750, 0.750]],
  "vol_a3_per_cell": 119.62,
  "space_group": "F-43m (216)",
  "e_form_raw_ev_per_atom": 0.489
}



[2]
{
  "formula": "CaSb2Ru",
  "functional": "GGA-PBEsol",
  "state": "optimized geometry",
  "lattice": [[3.324, 0.000, 0.000], [0.000, 5.107, 0.000], [0.000, 0.000, 5.255]],
  "species": ["Ca", "Sb", "Sb", "Ru"],
  "frac_coords": [[0.000, 0.000, 0.000], [0.500, 0.000, 0.524], [0.500, 0.500, 0.206], [0.500, 0.500, 0.714]],
  "vol_a3_per_cell": 89.20,
  "space_group": "Pmm2 (25)",
  "e_form_raw_ev_per_atom": -0.085
}



[3]
{
  "formula": "Mn2BeAs",
  "functional": "GGA-PBEsol",
  "state": "optimized geometry",
  "lattice": [[5.520, 0.000, 0.000], [0.000, 5.520, 0.000], [0.000, 0.000, 5.520]],
  "species": ["Mn", "Mn", "Mn", "Mn", "Mn", "Mn", "Mn", "Mn", "Be", "Be", "Be", "Be", "As", "As", "As", "As"],
  "frac_coords": [[0.250, 0.250, 0.250], [0.250, 0.250, 0.750], [0.250, 0.750, 0.250], [0.250, 0.750, 0.750], [0.750, 0.250, 0.250], [0.750, 0.250, 0.750], [0.750, 0.750, 0.250], [0.750, 0.750, 0.750], [0.000, 0.000, 0.000], [0.000, 0.500, 0.500], [0.500, 0.000, 0.500], [0.500, 0.500, 0.000], [0.000, 0.000, 0.500], [0.000, 0.500, 0.000], [0.500, 0.000, 0.000], [0.500, 0.500, 0.500]],
  "vol_a3_per_cell": 168.23,
  "space_group": "Fm-3m (225)",
  "e_form_ev_per_atom": -0.026
}



[4]
{
  "formula": "NaH2S2O4",
  "functional": "GGA-PBEsol",
  "state": "optimized geometry",
  "lattice": [[7.378, -3.164, 0.000], [7.378, 3.164, 0.000], [-1.414, 0.000, 5.136]],
  "species": ["Na", "Na", "H", "H", "H", "H", "S", "S", "S", "S", "O", "O", "O", "O", "O", "O", "O", "O"],
  "frac_coords": [[0.228, 0.228, 0.477], [0.772, 0.772, 0.523], [0.248, 0.556, 0.448], [0.262, 0.556, 0.752], [0.444, 0.738, 0.248], [0.444, 0.752, 0.552], [0.547, 0.190, 0.087], [0.810, 0.453, 0.913], [0.890, 0.065, 0.162], [0.935, 0.110, 0.838], [0.164, 0.585, 0.585], [0.379, 0.444, 0.120], [0.415, 0.836, 0.415], [0.529, 0.093, 0.823], [0.554, 0.091, 0.291], [0.556, 0.621, 0.880], [0.907, 0.471, 0.177], [0.909, 0.446, 0.709]],
  "vol_a3_per_cell": 239.80,
  "space_group": "C2 (5)",
  "final_energy_ev_per_cell": -97.7
}